Run one
This record from the Alexandria database describes a geometry-optimized BaReBr2 structure. The functional is PBE.

Cell: 4.5641 4.6376 12.9632 Å, 90.00 90.00 90.00°
With the nearest neighbours (Å) after each atom.
Space group Imm2 (No. 44)
Asymmetric unit:
Ba (0.0000, 0.0000, 0.0000) [2 per cell]  6 Br 3.31-3.38, 2 Re 3.68
Re (0.0000, 0.5000, 0.2777) [2 per cell]  6 Br 3.29-3.51, 2 Ba 3.68
Br (0.0000, 0.0000, 0.5716) [2 per cell]  4 Ba 3.38, 2 Re 3.51
Br (0.0000, 0.5000, 0.8179) [2 per cell]  4 Re 3.29, 2 Ba 3.31

***

Run two
This record from the Alexandria database describes a geometry-optimized BaReBr2 structure. The functional is PBE.

Cell: 3.5435 3.5435 8.9416 Å, 90.00 90.00 90.00°
With the nearest neighbours (Å) after each atom.
Space group P4mm (No. 99)
Asymmetric unit:
Ba (0.0000, 0.0000, 0.0000) [1 per cell]  5 Br 3.23-3.49, 4 Ba 3.54, 4 Re 3.61
Re (0.5000, 0.5000, 0.7094) [1 per cell]  4 Br 2.66
Br (0.0000, 0.0000, 0.6096) [1 per cell]  4 Re 2.66
Br (0.5000, 0.5000, 0.2284) [1 per cell]  4 Ba 3.23, 4 Br 3.54

***

Run three
This record from the Alexandria database describes a geometry-optimized BaReBr2 structure. The functional is PBE.

Cell: 4.3161 4.3161 6.8030 Å, 90.00 90.00 90.00°
With the nearest neighbours (Å) after each atom.
Space group P4mm (No. 99)
Asymmetric unit:
Ba (0.0000, 0.0000, 0.0000) [1 per cell]  6 Br 3.25-3.56
Re (0.5000, 0.5000, 0.6622) [1 per cell]  5 Br 3.08-3.20
Br (0.0000, 0.0000, 0.5228) [1 per cell]  4 Re 3.20, 2 Ba 3.25-3.56
Br (0.5000, 0.5000, 0.2100) [1 per cell]  1 Re 3.08, 4 Ba 3.37

***

Quick one: most stable of them? run two

***

Run one
This record from the Alexandria database describes a geometry-optimized BaReBr2 structure. The functional is PBE.

Cell: 8.0576 8.0576 8.0576 Å, 90.00 90.00 90.00°
With the nearest neighbours (Å) after each atom.
Space group F-43m (No. 216)
Asymmetric unit:
Ba (0.0000, 0.0000, 0.0000) [4 per cell]  4 Re 3.49, 4 Br 3.49
Re (0.2500, 0.2500, 0.2500) [4 per cell]  4 Br 3.49, 4 Ba 3.49
Br (0.0000, 0.0000, 0.5000) [4 per cell]  4 Br 3.49, 4 Re 3.49
Br (0.2500, 0.2500, 0.7500) [4 per cell]  4 Ba 3.49, 4 Br 3.49

***

Run two
This record from the Alexandria database describes a geometry-optimized BaReBr2 structure. The functional is PBE.

Cell: 10.6353 4.9566 5.7082 Å, 90.00 122.22 90.00°
With the nearest neighbours (Å) after each atom.
Space group C2/m (No. 12)
Asymmetric unit:
Ba (0.0000, 0.0000, 0.0000) [2 per cell]  8 Br 3.48-3.52, 4 Re 3.78
Re (0.0000, 0.5000, 0.5000) [2 per cell]  4 Br 3.22
Br (0.2277, 0.0000, 0.7273) [4 per cell]  2 Re 3.22, 4 Ba 3.48-3.52

***

Run three
This record from the Alexandria database describes a geometry-optimized BaReBr2 structure. The functional is PBE.

Cell: 5.5932 5.5932 16.1826 Å, 90.00 90.00 90.00°
With the nearest neighbours (Å) after each atom.
Space group I-42d (No. 122)
Asymmetric unit:
Ba (0.0000, 0.0000, 0.0000) [4 per cell]  4 Br 3.16
Re (0.0000, 0.0000, 0.5000) [4 per cell]  4 Br 2.59
Br (0.1448, 0.2500, 0.6250) [8 per cell]  2 Re 2.59

***

Run four
This record from the Alexandria database describes a geometry-optimized BaReBr2 structure. The functional is PBE.

Cell: 4.0744 4.0744 26.8071 Å, 90.00 90.00 120.00°
With the nearest neighbours (Å) after each atom.
Space group R3m (No. 160, hexagonal axes)
Asymmetric unit:
Ba (0.0000, 0.0000, 0.0000) [3 per cell]  3 Br 3.17, 3 Re 3.55
Re (0.0000, 0.0000, 0.2342) [3 per cell]  3 Br 2.48
Br (0.0000, 0.0000, 0.5383) [3 per cell]  3 Re 2.48
Br (0.0000, 0.0000, 0.7461) [3 per cell]  3 Ba 3.17

***

Quick one: most stable of them? run four